DFT (PBE) results for crystalline K2CdHg4 at its relaxed geometry.

Lattice parameters (Å, degrees): 5.663 5.663 9.683 73.00 73.00 90.00
Element x y z (fractional)
1 K 0.631 0.631 0.739
2 K 0.369 0.369 0.261
3 Hg 0.828 0.828 0.344
4 Hg 0.172 0.172 0.656
5 Hg 0.000 0.500 0.000
6 Hg 0.500 0.000 0.000
7 Cd 0.000 0.000 0.000

Summary:
Distance to the lowest polymorph of the same formula, kJ/mol of formula units: 77
D(E_F), states/eV/cell: 5.83
Energy of formation from the pure elements, meV per atom: -93

---

DFT (PBE) results for crystalline KCdHg at its relaxed geometry.

Lattice parameters (Å, degrees): 4.980 4.979 8.135 90.01 90.03 88.48
Element x y z (fractional)
1 K 0.813 0.866 0.578
2 K 0.314 0.367 0.261
3 Cd 0.812 0.368 0.920
4 Cd 0.315 0.865 0.920
5 Hg 0.815 0.868 0.134
6 Hg 0.312 0.365 0.706

Summary:
Distance to the lowest polymorph of the same formula, kJ/mol of formula units: 0
D(E_F), states/eV/cell: 3.11
Energy of formation from the pure elements, meV per atom: -180

---

DFT (PBE) results for crystalline KCdHg3 at its relaxed geometry.

Lattice parameters (Å, degrees): 7.554 7.554 13.537 90.00 90.00 120.00
Element x y z (fractional)
1 K 0.333 0.667 0.250
2 K 0.667 0.333 0.750
3 K 0.000 0.000 0.500
4 K 0.000 0.000 0.000
5 Cd 0.667 0.333 0.141
6 Cd 0.333 0.667 0.641
7 Cd 0.333 0.667 0.859
8 Cd 0.667 0.333 0.359
9 Hg 0.133 0.265 0.750
10 Hg 0.265 0.133 0.250
11 Hg 0.867 0.133 0.250
12 Hg 0.133 0.867 0.750
13 Hg 0.735 0.867 0.750
14 Hg 0.867 0.735 0.250
15 Hg 0.500 0.500 0.500
16 Hg 0.500 0.000 0.000
17 Hg 0.500 0.500 0.000
18 Hg 0.500 0.000 0.500
19 Hg 0.000 0.500 0.500
20 Hg 0.000 0.500 0.000

Summary:
Distance to the lowest polymorph of the same formula, kJ/mol of formula units: 24
D(E_F), states/eV/cell: 11.23
Energy of formation from the pure elements, meV per atom: -116

---

DFT (PBE) results for crystalline K2CdHg5 at its relaxed geometry.

Lattice parameters (Å, degrees): 7.132 7.131 7.005 120.45 120.45 89.80
Element x y z (fractional)
1 K 0.223 0.724 0.446
2 K 0.722 0.221 0.444
3 Cd 0.219 0.220 0.438
4 Hg 0.723 0.224 0.946
5 Hg 0.223 0.224 0.945
6 Hg 0.721 0.720 0.943
7 Hg 0.224 0.720 0.944
8 Hg 0.724 0.723 0.447

Summary:
Distance to the lowest polymorph of the same formula, kJ/mol of formula units: 20
D(E_F), states/eV/cell: 3.37
Energy of formation from the pure elements, meV per atom: -164

---

DFT (PBE) results for crystalline KCd6Hg2 at its relaxed geometry.

Lattice parameters (Å, degrees): 4.658 4.658 10.867 90.00 90.00 90.00
Element x y z (fractional)
1 K 0.000 0.000 0.000
2 Cd 0.000 0.500 0.306
3 Cd 0.500 0.000 0.306
4 Cd 0.000 0.500 0.694
5 Cd 0.500 0.000 0.694
6 Cd 0.500 0.500 0.500
7 Cd 0.000 0.000 0.500
8 Hg 0.500 0.500 0.134
9 Hg 0.500 0.500 0.866

Summary:
Distance to the lowest polymorph of the same formula, kJ/mol of formula units: 0
D(E_F), states/eV/cell: 2.90
Energy of formation from the pure elements, meV per atom: -81

---

DFT (PBE) results for crystalline KCd5Hg2 at its relaxed geometry.

Lattice parameters (Å, degrees): 4.601 7.402 7.402 69.59 71.89 71.89
Element x y z (fractional)
1 K 0.000 0.000 0.000
2 Cd 0.000 0.500 0.500
3 Cd 0.638 0.545 0.178
4 Cd 0.362 0.455 0.822
5 Cd 0.362 0.822 0.455
6 Cd 0.638 0.178 0.545
7 Hg 0.734 0.766 0.766
8 Hg 0.266 0.234 0.234

Summary:
D(E_F), states/eV/cell: 4.04
Energy of formation from the pure elements, meV per atom: -76

---

DFT (PBE) results for crystalline K3Cd4Hg2 at its relaxed geometry.

Lattice parameters (Å, degrees): 5.239 6.661 9.975 107.91 90.00 113.16
Element x y z (fractional)
1 K 0.637 0.275 0.685
2 K 0.000 0.000 0.000
3 K 0.363 0.725 0.315
4 Cd 0.728 0.456 0.060
5 Cd 0.272 0.544 0.940
6 Cd 0.905 0.811 0.575
7 Cd 0.095 0.189 0.425
8 Hg 0.661 0.321 0.319
9 Hg 0.339 0.679 0.681

Summary:
D(E_F), states/eV/cell: 4.49
Energy of formation from the pure elements, meV per atom: -129

---

DFT (PBE) results for crystalline KCd2Hg9 at its relaxed geometry.

Lattice parameters (Å, degrees): 3.366 10.599 10.599 120.00 90.00 90.00
Element x y z (fractional)
1 K 0.000 0.000 0.000
2 Cd 0.000 0.667 0.333
3 Cd 0.000 0.333 0.667
4 Hg 0.500 0.823 0.177
5 Hg 0.000 0.000 0.500
6 Hg 0.000 0.500 0.500
7 Hg 0.500 0.823 0.645
8 Hg 0.500 0.177 0.823
9 Hg 0.500 0.645 0.823
10 Hg 0.500 0.177 0.355
11 Hg 0.000 0.500 0.000
12 Hg 0.500 0.355 0.177

Summary:
D(E_F), states/eV/cell: 2.75
Energy of formation from the pure elements, meV per atom: -56

---

DFT (PBE) results for crystalline KCd4Hg at its relaxed geometry.

Lattice parameters (Å, degrees): 6.174 6.174 6.174 60.00 60.00 60.00
Element x y z (fractional)
1 Cd 0.126 0.625 0.625
2 Cd 0.625 0.625 0.625
3 Cd 0.625 0.126 0.625
4 Cd 0.625 0.625 0.126
5 Hg 0.250 0.250 0.250
6 K 0.000 0.000 0.000

Summary:
Distance to the lowest polymorph of the same formula, kJ/mol of formula units: 11
D(E_F), states/eV/cell: 4.27
Energy of formation from the pure elements, meV per atom: -33

---

DFT (PBE) results for crystalline K3Cd3Hg2 at its relaxed geometry.

Lattice parameters (Å, degrees): 5.202 6.659 17.401 90.00 90.00 112.99
Element x y z (fractional)
1 K 0.912 0.824 0.392
2 K 0.088 0.176 0.892
3 K 0.912 0.824 0.108
4 K 0.088 0.176 0.608
5 K 0.617 0.234 0.250
6 K 0.383 0.766 0.750
7 Cd 0.618 0.236 0.466
8 Cd 0.382 0.764 0.966
9 Cd 0.618 0.236 0.034
10 Cd 0.382 0.764 0.534
11 Cd 0.321 0.641 0.250
12 Cd 0.679 0.359 0.750
13 Hg 0.793 0.586 0.903
14 Hg 0.207 0.414 0.403
15 Hg 0.793 0.586 0.597
16 Hg 0.207 0.414 0.097

Summary:
Distance to the lowest polymorph of the same formula, kJ/mol of formula units: 0
D(E_F), states/eV/cell: 7.95
Energy of formation from the pure elements, meV per atom: -157

---

DFT (PBE) results for crystalline KCd2Hg7 at its relaxed geometry.

Lattice parameters (Å, degrees): 5.730 8.487 8.487 119.23 90.00 90.00
Element x y z (fractional)
1 K 0.000 0.000 0.000
2 Cd 0.500 0.706 0.294
3 Cd 0.500 0.294 0.706
4 Hg 0.000 0.723 0.277
5 Hg 0.000 0.277 0.723
6 Hg 0.500 0.069 0.297
7 Hg 0.500 0.931 0.703
8 Hg 0.500 0.297 0.069
9 Hg 0.500 0.703 0.931
10 Hg 0.500 0.500 0.500

Summary:
Distance to the lowest polymorph of the same formula, kJ/mol of formula units: 32
D(E_F), states/eV/cell: 3.98
Energy of formation from the pure elements, meV per atom: -10

---

DFT (PBE) results for crystalline KCdHg at its relaxed geometry.

Lattice parameters (Å, degrees): 5.318 5.318 3.940 90.00 90.00 120.00
Element x y z (fractional)
1 K 0.333 0.667 0.666
2 Hg 0.667 0.333 0.167
3 Cd 0.000 0.000 0.167

Summary:
Distance to the lowest polymorph of the same formula, kJ/mol of formula units: 6
D(E_F), states/eV/cell: 1.54
Energy of formation from the pure elements, meV per atom: -160